a:
Compound: DySbRh4
Source: Alexandria
Functional: PBE
Structure: optimized geometry

Unit cell a=4.694 b=14.084 c=6.767 alpha=90.00 beta=90.00 gamma=90.00
Space group Cmcm (No. 63)
Unique sites:
Dy  0.000  0.109  0.250
Sb  0.000  0.355  0.250
Rh  0.000  0.078  0.750
Rh  0.000  0.261  0.571
Rh  0.000  0.500  0.000

Values from the calculation:
crystal system: orthorhombic

b:
Compound: DySbRh4
Source: Alexandria
Functional: PBE
Structure: optimized geometry

Unit cell a=7.500 b=7.500 c=7.500 alpha=90.00 beta=90.00 gamma=90.00
Space group F-43m (No. 216)
Unique sites:
Dy  0.000  0.000  0.000
Sb  0.250  0.250  0.250
Rh  0.124  0.124  0.624

Values from the calculation:
crystal system: cubic

On energetic grounds, b is preferred over the next structure by 11.2 kJ/mol of atoms.

a:
Compound: DySbRh3
Source: Alexandria
Functional: PBE
Structure: optimized geometry

Unit cell a=5.820 b=12.614 c=5.081 alpha=90.00 beta=90.00 gamma=90.00
Space group Cmcm (No. 63)
Unique sites:
Dy  0.000  0.094  0.250
Sb  0.000  0.317  0.750
Rh  0.000  0.500  0.000
Rh  0.231  0.341  0.250

Values from the calculation:
crystal system: orthorhombic

b:
Compound: DySbRh3
Source: Alexandria
Functional: PBE
Structure: optimized geometry

Unit cell a=5.902 b=10.780 c=6.658 alpha=90.00 beta=90.00 gamma=90.00
Space group Imma (No. 74)
Unique sites:
Dy  0.000  0.250  0.053
Sb  0.000  0.000  0.500
Rh  0.000  0.250  0.468
Rh  0.250  0.122  0.750

Values from the calculation:
crystal system: orthorhombic

On energetic grounds, a is preferred over the next structure by 15.4 kJ/mol of atoms.

a:
Compound: DySb2Rh4
Source: Alexandria
Functional: PBE
Structure: optimized geometry

Unit cell a=4.004 b=4.004 c=17.632 alpha=90.00 beta=90.00 gamma=90.00
Space group I4/mmm (No. 139)
Unique sites:
Dy  0.000  0.000  0.000
Sb  0.000  0.000  0.361
Rh  0.000  0.000  0.143
Rh  0.000  0.500  0.250

Values from the calculation:
crystal system: tetragonal

b:
Compound: DySb2Rh4
Source: Alexandria
Functional: PBE
Structure: optimized geometry

Unit cell a=7.959 b=7.959 c=4.110 alpha=90.00 beta=90.00 gamma=90.00
Space group P4_2/mnm (No. 136)
Unique sites:
Dy  0.000  0.000  0.000
Sb  0.224  0.224  0.500
Rh  0.081  0.657  0.500

Values from the calculation:
crystal system: tetragonal

On energetic grounds, b is preferred over the next structure by 30.1 kJ/mol of atoms.

a:
Compound: Dy2SbRh
Source: Alexandria
Functional: PBE
Structure: optimized geometry

Unit cell a=5.0718 b=5.0718 c=12.6721 alpha=90.00 beta=90.00 gamma=120.00
Space group R-3m (No. 166, hexagonal axes)
Unique sites:
Dy  0.0000  0.0000  0.2484
Sb  0.0000  0.0000  0.0000
Rh  0.0000  0.0000  0.5000

Values from the calculation:
crystal system: trigonal

b:
Compound: Dy2SbRh
Source: Alexandria
Functional: PBE
Structure: optimized geometry

Unit cell a=3.537 b=3.537 c=7.534 alpha=90.00 beta=90.00 gamma=90.00
Space group P4/mmm (No. 123)
Unique sites:
Dy  0.000  0.000  0.220
Sb  0.500  0.500  0.500
Rh  0.500  0.500  0.000

Values from the calculation:
crystal system: tetragonal

On energetic grounds, b is preferred over the next structure by 8.0 kJ/mol of atoms.

a:
Compound: DyScRh2
Source: Alexandria
Functional: PBE
Structure: optimized geometry

Unit cell a=6.662 b=6.662 c=6.662 alpha=90.00 beta=90.00 gamma=90.00
Space group Fm-3m (No. 225)
Unique sites:
Dy  0.000  0.000  0.000
Sc  0.000  0.000  0.500
Rh  0.250  0.250  0.250

Values from the calculation:
crystal system: cubic

b:
Compound: DyScRh2
Source: Alexandria
Functional: PBE
Structure: optimized geometry

Unit cell a=3.269 b=3.269 c=6.898 alpha=90.00 beta=90.00 gamma=90.00
Space group P4/mmm (No. 123)
Unique sites:
Dy  0.000  0.000  0.000
Sc  0.000  0.000  0.500
Rh  0.500  0.500  0.268

Values from the calculation:
crystal system: tetragonal

On energetic grounds, b is preferred over the next structure by 0.8 kJ/mol of atoms.

a:
Compound: DySiRh3
Source: Alexandria
Functional: PBE
Structure: optimized geometry

Unit cell a=4.458 b=4.458 c=4.458 alpha=90.00 beta=90.00 gamma=90.00
Space group Pm-3m (No. 221)
Unique sites:
Dy  0.000  0.000  0.000
Si  0.500  0.500  0.500
Rh  0.000  0.500  0.500

Values from the calculation:
crystal system: cubic

b:
Compound: DySiRh3
Source: Alexandria
Functional: PBE
Structure: optimized geometry

Unit cell a=4.4356 b=4.4356 c=9.4680 alpha=90.00 beta=90.00 gamma=120.00
Space group P6_3/mmc (No. 194)
Unique sites:
Dy  0.3333  0.6667  0.2500
Si  0.0000  0.0000  0.0000
Rh  0.0000  0.0000  0.2500
Rh  0.3333  0.6667  0.5696

Values from the calculation:
crystal system: hexagonal

On energetic grounds, b is preferred over the next structure by 0.9 kJ/mol of atoms.

a:
Compound: Dy2Si3Rh2
Source: Alexandria
Functional: PBE
Structure: optimized geometry

Unit cell a=4.059 b=17.561 c=6.929 alpha=90.00 beta=90.00 gamma=90.00
Space group Cmcm (No. 63)
Unique sites:
Dy  0.000  0.056  0.250
Dy  0.000  0.157  0.750
Si  0.000  0.224  0.250
Si  0.000  0.439  0.072
Rh  0.000  0.309  0.548

Values from the calculation:
crystal system: orthorhombic

b:
Compound: Dy2Si3Rh2
Source: Alexandria
Functional: PBE
Structure: optimized geometry

Unit cell a=10.013 b=4.164 c=6.475 alpha=90.00 beta=115.17 gamma=90.00
Space group C2/m (No. 12)
Unique sites:
Dy  0.153  0.000  0.273
Si  0.000  0.500  0.500
Si  0.114  0.500  0.940
Rh  0.132  0.000  0.729

Values from the calculation:
crystal system: monoclinic

On energetic grounds, a is preferred over the next structure by 11.0 kJ/mol of atoms.

a:
Compound: DySi2Rh4
Source: Alexandria
Functional: PBE
Structure: optimized geometry

Unit cell a=16.644 b=4.038 c=6.404 alpha=90.00 beta=90.00 gamma=90.00
Space group Pnma (No. 62)
Unique sites:
Dy  0.138  0.250  0.006
Si  0.039  0.750  0.261
Si  0.217  0.250  0.526
Rh  0.030  0.750  0.855
Rh  0.074  0.250  0.501
Rh  0.184  0.750  0.312
Rh  0.196  0.750  0.732

Values from the calculation:
crystal system: orthorhombic

b:
Compound: DySi2Rh4
Source: Alexandria
Functional: PBE
Structure: optimized geometry

Unit cell a=7.649 b=7.649 c=3.754 alpha=90.00 beta=90.00 gamma=90.00
Space group P4_2/mnm (No. 136)
Unique sites:
Dy  0.000  0.000  0.000
Si  0.229  0.229  0.500
Rh  0.073  0.672  0.500

Values from the calculation:
crystal system: tetragonal

On energetic grounds, a is preferred over the next structure by 2.8 kJ/mol of atoms.

a:
Compound: Sm2Dy2Rh3
Source: Alexandria
Functional: PBE
Structure: optimized geometry

Unit cell a=4.400 b=5.997 c=7.439 alpha=99.44 beta=90.12 gamma=111.50
Space group P-1 (No. 2)
Unique sites:
Sm  0.135  0.267  0.356
Dy  0.364  0.726  0.074
Rh  0.000  0.000  0.000
Rh  0.194  0.392  0.734

Values from the calculation:
crystal system: triclinic

b:
Compound: Sm2Dy2Rh3
Source: Alexandria
Functional: PBE
Structure: optimized geometry

Unit cell a=8.350 b=4.832 c=8.573 alpha=90.00 beta=108.96 gamma=90.00
Space group C2/m (No. 12)
Unique sites:
Sm  0.124  0.000  0.373
Dy  0.126  0.500  0.877
Rh  0.000  0.000  0.000
Rh  0.247  0.500  0.243

Values from the calculation:
crystal system: monoclinic

On energetic grounds, b is preferred over the next structure by 10.2 kJ/mol of atoms.

a:
Compound: SmDy3Rh2
Source: Alexandria
Functional: PBE
Structure: optimized geometry

Unit cell a=4.740 b=8.701 c=7.186 alpha=90.00 beta=90.00 gamma=90.00
Space group Pmc2_1 (No. 26)
Unique sites:
Sm  0.000  0.084  0.000
Dy  0.000  0.335  0.629
Dy  0.500  0.170  0.348
Dy  0.500  0.417  0.976
Rh  0.000  0.340  0.234
Rh  0.500  0.166  0.743

Values from the calculation:
crystal system: orthorhombic

b:
Compound: SmDy3Rh2
Source: Alexandria
Functional: PBE
Structure: optimized geometry

Unit cell a=16.185 b=4.257 c=10.790 alpha=90.00 beta=116.51 gamma=90.00
Space group C2/m (No. 12)
Unique sites:
Sm  0.055  0.000  0.212
Dy  0.074  0.500  0.669
Dy  0.170  0.500  0.032
Dy  0.212  0.000  0.593
Rh  0.118  0.500  0.418
Rh  0.137  0.000  0.848

Values from the calculation:
crystal system: monoclinic

On energetic grounds, a is preferred over the next structure by 6.6 kJ/mol of atoms.

a:
Compound: Sm2DyRh3
Source: Alexandria
Functional: PBE
Structure: optimized geometry

Unit cell a=4.9154 b=4.9154 c=6.0135 alpha=90.00 beta=90.00 gamma=120.00
Space group P-3m1 (No. 164)
Unique sites:
Sm  0.3333  0.6667  0.1681
Dy  0.0000  0.0000  0.5000
Rh  0.0000  0.0000  0.0000
Rh  0.3333  0.6667  0.6612

Values from the calculation:
crystal system: trigonal

b:
Compound: Sm2DyRh3
Source: Alexandria
Functional: PBE
Structure: optimized geometry

Unit cell a=3.468 b=3.468 c=10.471 alpha=90.00 beta=90.00 gamma=90.00
Space group P4/mmm (No. 123)
Unique sites:
Sm  0.000  0.000  0.169
Dy  0.000  0.000  0.500
Rh  0.500  0.500  0.000
Rh  0.500  0.500  0.340

Values from the calculation:
crystal system: tetragonal

On energetic grounds, a is preferred over the next structure by 0.5 kJ/mol of atoms.